(1)
Compound: CaTlSe3
Source: Alexandria via LeMat-Bulk
Functional: GGA-PBE
Structure: relaxed

Values from the calculation:
**Crystal system**: cubic
**Energy relative to the elements, uncorrected**: -0.291 eV per atom
**Energy above the lowest structure with this stoichiometry**: 0 meV per atom

Geometry as POSCAR:
```
CaTlSe3
1.0
5.5993 0.0000 0.0000
0.0000 5.5993 0.0000
0.0000 0.0000 5.5993
Ca Se Tl
1 3 1
Direct
0.0000 0.0000 0.0000
0.0000 0.0000 0.5000
0.5000 0.0000 0.0000
0.0000 0.5000 0.0000
0.5000 0.5000 0.5000
```

(2)
Compound: Ca3TlSe
Source: Alexandria via LeMat-Bulk
Functional: GGA-PBE
Structure: relaxed

Values from the calculation:
**Crystal system**: cubic
**Energy relative to the elements, uncorrected**: -0.782 eV per atom
**Energy above the lowest structure with this stoichiometry**: 0 meV per atom

Geometry as POSCAR:
```
Ca3TlSe
1.0
5.5485 0.0000 0.0000
0.0000 5.5485 0.0000
0.0000 0.0000 5.5485
Tl Ca Se
1 3 1
Direct
0.5000 0.5000 0.5000
0.0000 0.5000 0.0000
0.5000 0.0000 0.0000
0.0000 0.0000 0.5000
0.0000 0.0000 0.0000
```

(3)
Compound: CaTlSe3
Source: Alexandria via LeMat-Bulk
Functional: GGA-PBE
Structure: relaxed

Values from the calculation:
**Crystal system**: cubic
**Energy relative to the elements, uncorrected**: -0.242 eV per atom
**Energy above the lowest structure with this stoichiometry**: 49 meV per atom

Geometry as POSCAR:
```
CaTlSe3
1.0
5.3773 0.0000 0.0000
0.0000 5.3773 0.0000
0.0000 0.0000 5.3773
Ca Se Tl
1 3 1
Direct
0.5000 0.5000 0.5000
0.5000 0.0000 0.0000
0.0000 0.0000 0.5000
0.0000 0.5000 0.0000
0.0000 0.0000 0.0000
```